# 1
First-principles (PBE) data for Be2CdTe after structural relaxation, as listed in the Alexandria database.

Cell: 3.518 3.518 6.283 Å, 90.00 90.00 90.00°
Space group P4mm (No. 99)
Unique sites:
1 Be 0.000 0.000 0.000 (multiplicity 1)
2 Be 0.500 0.500 0.283 (multiplicity 1)
3 Cd 0.000 0.000 0.415 (multiplicity 1)
4 Te 0.500 0.500 0.898 (multiplicity 1)

Summary:
Uncorrected energy = -9.70 eV for the cell shown
Magnetization = 0.0 μB/cell
Polymorph energy (0 for the lowest one) = 150.0 meV/atom
Formation energy (no corrections) = 453 meV/atom

***

# 2
First-principles (PBE) data for HgPbSe2 after structural relaxation, as listed in the Alexandria database.

Cell: 6.064 11.007 3.097 Å, 90.00 90.75 90.00°
Space group C2/m (No. 12)
Unique sites:
1 Hg 0.000 0.000 0.000 (multiplicity 2)
2 Pb 0.000 0.500 0.000 (multiplicity 2)
3 Se 0.250 0.250 0.500 (multiplicity 4)

Summary:
Uncorrected energy = -20.79 eV for the cell shown
Magnetization = 0.0 μB/cell
Polymorph energy (0 for the lowest one) = 447.5 meV/atom
Formation energy (no corrections) = 146 meV/atom

***

# 3
First-principles (PBE) data for Ti5MnAl2Tc2 after structural relaxation, as listed in the Alexandria database.

Cell: 10.192 10.192 3.153 Å, 90.00 90.00 90.00°
Space group P4/mbm (No. 127)
Unique sites:
1 Ti 0.000 0.500 0.000 (multiplicity 2)
2 Ti 0.071 0.185 0.000 (multiplicity 8)
3 Mn 0.000 0.000 0.500 (multiplicity 2)
4 Al 0.171 0.671 0.500 (multiplicity 4)
5 Tc 0.135 0.365 0.500 (multiplicity 4)

Summary:
Uncorrected energy = -155.31 eV for the cell shown
Magnetization = 0.0 μB/cell
Formation energy from the elements = -79 meV per atom

***

# 4
First-principles (PBE) data for Np2Ge4Pd3Au after structural relaxation, as listed in the Alexandria database.

Cell: 4.323 4.323 10.286 Å, 90.00 90.00 90.00°
Space group P-4m2 (No. 115)
Unique sites:
1 Np 0.000 0.500 0.247 (multiplicity 2)
2 Ge 0.000 0.000 0.000 (multiplicity 1)
3 Ge 0.000 0.500 0.641 (multiplicity 2)
4 Ge 0.500 0.500 0.000 (multiplicity 1)
5 Pd 0.000 0.500 0.876 (multiplicity 2)
6 Pd 0.500 0.500 0.500 (multiplicity 1)
7 Au 0.000 0.000 0.500 (multiplicity 1)

Summary:
Uncorrected energy = -66.76 eV for the cell shown
Magnetization = 8.0 μB/cell
Formation energy from the elements = -355 meV per atom

***

Among the records above, which one has the highest uncorrected energy? Be2CdTe

***

Copy entry 2 word for word.
First-principles (PBE) data for HgPbSe2 after structural relaxation, as listed in the Alexandria database.

Cell: 6.064 11.007 3.097 Å, 90.00 90.75 90.00°
Space group C2/m (No. 12)
Unique sites:
1 Hg 0.000 0.000 0.000 (multiplicity 2)
2 Pb 0.000 0.500 0.000 (multiplicity 2)
3 Se 0.250 0.250 0.500 (multiplicity 4)

Summary:
Uncorrected energy = -20.79 eV for the cell shown
Magnetization = 0.0 μB/cell
Polymorph energy (0 for the lowest one) = 447.5 meV/atom
Formation energy (no corrections) = 146 meV/atom

***

The highest magnetization belongs to which entry? Np2Ge4Pd3Au

***

What is the formula in the third record? Ti5MnAl2Tc2